# PBE Al2CuBr, relaxed
# Calculated total energy   -3.240 eV/atom
# Offset from the most stable computed form   177 meV per atom
# Formation energy without anion corrections   28 kJ/mol of formula units
data_Al2CuBr
_chemical_formula_sum 'Al6 Cu3 Br3'
_symmetry_space_group_name_H-M 'R 3 m'
_symmetry_Int_Tables_number 160
_symmetry_space_group_name_Hall 'R 3 -2"'
_cell_length_a 3.4594
_cell_length_b 3.4594
_cell_length_c 22.7500
_cell_angle_alpha 90.00
_cell_angle_beta 90.00
_cell_angle_gamma 120.00
loop_
_atom_site_label
_atom_site_type_symbol
_atom_site_fract_x
_atom_site_fract_y
_atom_site_fract_z
Al1 Al 0.0000 0.0000 0.0000
Al2 Al 0.0000 0.0000 0.2484
Cu1 Cu 0.0000 0.0000 0.7302
Br1 Br 0.0000 0.0000 0.4994

# PBE Al2CuBr, relaxed
# Calculated total energy   -2.987 eV/atom
# Offset from the most stable computed form   430 meV per atom
# Formation energy without anion corrections   126 kJ/mol of formula units
data_Al2CuBr
_chemical_formula_sum 'Al2 Cu1 Br1'
_symmetry_space_group_name_H-M 'P m m m'
_symmetry_Int_Tables_number 47
_symmetry_space_group_name_Hall '-P 2 2'
_cell_length_a 3.1086
_cell_length_b 4.6542
_cell_length_c 5.2446
_cell_angle_alpha 90.00
_cell_angle_beta 90.00
_cell_angle_gamma 90.00
loop_
_atom_site_label
_atom_site_type_symbol
_atom_site_fract_x
_atom_site_fract_y
_atom_site_fract_z
Al1 Al 0.0000 0.0000 0.0000
Al2 Al 0.5000 0.5000 0.0000
Cu1 Cu 0.0000 0.5000 0.5000
Br1 Br 0.5000 0.0000 0.5000

# PBE AlCu2Br, relaxed
# Calculated total energy   -3.314 eV/atom
# Offset from the most stable computed form   186 meV per atom
# Formation energy without anion corrections   34 kJ/mol of formula units
data_AlCu2Br
_chemical_formula_sum 'Al2 Cu4 Br2'
_symmetry_space_group_name_H-M 'I m m 2'
_symmetry_Int_Tables_number 44
_symmetry_space_group_name_Hall 'I 2 -2'
_cell_length_a 3.3729
_cell_length_b 3.6191
_cell_length_c 11.9174
_cell_angle_alpha 90.00
_cell_angle_beta 90.00
_cell_angle_gamma 90.00
loop_
_atom_site_label
_atom_site_type_symbol
_atom_site_fract_x
_atom_site_fract_y
_atom_site_fract_z
Al1 Al 0.0000 0.0000 0.0000
Cu1 Cu 0.0000 0.0000 0.4747
Cu2 Cu 0.0000 0.5000 0.3323
Br1 Br 0.0000 0.5000 0.7127

# PBE AlCu2Br, relaxed
# Calculated total energy   -2.799 eV/atom
# Offset from the most stable computed form   701 meV per atom
# Formation energy without anion corrections   233 kJ/mol of formula units
data_AlCu2Br
_chemical_formula_sum 'Al4 Cu8 Br4'
_symmetry_space_group_name_H-M 'F -4 3 m'
_symmetry_Int_Tables_number 216
_symmetry_space_group_name_Hall 'F -4 2 3'
_cell_length_a 6.5874
_cell_length_b 6.5874
_cell_length_c 6.5874
_cell_angle_alpha 90.00
_cell_angle_beta 90.00
_cell_angle_gamma 90.00
loop_
_atom_site_label
_atom_site_type_symbol
_atom_site_fract_x
_atom_site_fract_y
_atom_site_fract_z
Al1 Al 0.0000 0.0000 0.0000
Cu1 Cu 0.0000 0.0000 0.5000
Cu2 Cu 0.2500 0.2500 0.7500
Br1 Br 0.2500 0.2500 0.2500

# PBE AlCu2Br, relaxed
# Calculated total energy   -3.283 eV/atom
# Offset from the most stable computed form   217 meV per atom
# Formation energy without anion corrections   46 kJ/mol of formula units
data_AlCu2Br
_chemical_formula_sum 'Al3 Cu6 Br3'
_symmetry_space_group_name_H-M 'R 3 m'
_symmetry_Int_Tables_number 160
_symmetry_space_group_name_Hall 'R 3 -2"'
_cell_length_a 3.2745
_cell_length_b 3.2745
_cell_length_c 22.6943
_cell_angle_alpha 90.00
_cell_angle_beta 90.00
_cell_angle_gamma 120.00
loop_
_atom_site_label
_atom_site_type_symbol
_atom_site_fract_x
_atom_site_fract_y
_atom_site_fract_z
Al1 Al 0.0000 0.0000 0.0000
Cu1 Cu 0.0000 0.0000 0.2621
Cu2 Cu 0.0000 0.0000 0.5236
Br1 Br 0.0000 0.0000 0.7515

# PBE Al2CuBr, relaxed
# Calculated total energy   -3.417 eV/atom
# Offset from the most stable computed form   0 meV per atom
# Formation energy without anion corrections   -40 kJ/mol of formula units
data_Al2CuBr
_chemical_formula_sum 'Al4 Cu2 Br2'
_symmetry_space_group_name_H-M 'C 1 m 1'
_symmetry_Int_Tables_number 8
_symmetry_space_group_name_Hall 'C -2y'
_cell_length_a 6.8730
_cell_length_b 3.3576
_cell_length_c 7.2258
_cell_angle_alpha 90.00
_cell_angle_beta 93.53
_cell_angle_gamma 90.00
loop_
_atom_site_label
_atom_site_type_symbol
_atom_site_fract_x
_atom_site_fract_y
_atom_site_fract_z
Al1 Al 0.0000 0.0000 0.0000
Al2 Al 0.0942 0.5000 0.6525
Cu1 Cu 0.2990 0.0000 0.8290
Br1 Br 0.0262 0.0000 0.3487

# PBE AlCu2Br, relaxed
# Calculated total energy   -3.357 eV/atom
# Offset from the most stable computed form   143 meV per atom
# Formation energy without anion corrections   17 kJ/mol of formula units
data_AlCu2Br
_chemical_formula_sum 'Al1 Cu2 Br1'
_symmetry_space_group_name_H-M 'P m m 2'
_symmetry_Int_Tables_number 25
_symmetry_space_group_name_Hall 'P 2 -2'
_cell_length_a 3.4638
_cell_length_b 3.7584
_cell_length_c 6.1734
_cell_angle_alpha 90.00
_cell_angle_beta 90.00
_cell_angle_gamma 90.00
loop_
_atom_site_label
_atom_site_type_symbol
_atom_site_fract_x
_atom_site_fract_y
_atom_site_fract_z
Al1 Al 0.0000 0.0000 0.0000
Cu1 Cu 0.0000 0.5000 0.7331
Cu2 Cu 0.5000 0.5000 0.0285
Br1 Br 0.5000 0.5000 0.4479

# PBE AlCu2Br, relaxed
# Calculated total energy   -3.412 eV/atom
# Offset from the most stable computed form   88 meV per atom
# Formation energy without anion corrections   -4 kJ/mol of formula units
data_AlCu2Br
_chemical_formula_sum 'Al2 Cu4 Br2'
_symmetry_space_group_name_H-M 'C 1 2/m 1'
_symmetry_Int_Tables_number 12
_symmetry_space_group_name_Hall '-C 2y'
_cell_length_a 7.2566
_cell_length_b 4.1520
_cell_length_c 6.2262
_cell_angle_alpha 90.00
_cell_angle_beta 110.30
_cell_angle_gamma 90.00
loop_
_atom_site_label
_atom_site_type_symbol
_atom_site_fract_x
_atom_site_fract_y
_atom_site_fract_z
Al1 Al 0.0000 0.0000 0.0000
Cu1 Cu 0.1422 0.5000 0.9151
Br1 Br 0.0000 0.5000 0.5000

# PBE AlCu2Br, relaxed
# Calculated total energy   -2.846 eV/atom
# Offset from the most stable computed form   654 meV per atom
# Formation energy without anion corrections   215 kJ/mol of formula units
data_AlCu2Br
_chemical_formula_sum 'Al4 Cu8 Br4'
_symmetry_space_group_name_H-M 'F m -3 m'
_symmetry_Int_Tables_number 225
_symmetry_space_group_name_Hall '-F 4 2 3'
_cell_length_a 6.5626
_cell_length_b 6.5626
_cell_length_c 6.5626
_cell_angle_alpha 90.00
_cell_angle_beta 90.00
_cell_angle_gamma 90.00
loop_
_atom_site_label
_atom_site_type_symbol
_atom_site_fract_x
_atom_site_fract_y
_atom_site_fract_z
Al1 Al 0.0000 0.0000 0.0000
Cu1 Cu 0.2500 0.2500 0.2500
Br1 Br 0.0000 0.0000 0.5000

# PBE Al2CuBr, relaxed
# Calculated total energy   -2.948 eV/atom
# Offset from the most stable computed form   469 meV per atom
# Formation energy without anion corrections   141 kJ/mol of formula units
data_Al2CuBr
_chemical_formula_sum 'Al4 Cu2 Br2'
_symmetry_space_group_name_H-M 'I -4 m 2'
_symmetry_Int_Tables_number 119
_symmetry_space_group_name_Hall 'I -4 -2'
_cell_length_a 3.8944
_cell_length_b 3.8944
_cell_length_c 10.7066
_cell_angle_alpha 90.00
_cell_angle_beta 90.00
_cell_angle_gamma 90.00
loop_
_atom_site_label
_atom_site_type_symbol
_atom_site_fract_x
_atom_site_fract_y
_atom_site_fract_z
Al1 Al 0.0000 0.0000 0.0000
Al2 Al 0.0000 0.5000 0.2500
Cu1 Cu 0.0000 0.0000 0.5000
Br1 Br 0.0000 0.5000 0.7500

# PBE AlCu2Br, relaxed
# Calculated total energy   -3.192 eV/atom
# Offset from the most stable computed form   308 meV per atom
# Formation energy without anion corrections   81 kJ/mol of formula units
data_AlCu2Br
_chemical_formula_sum 'Al2 Cu4 Br2'
_symmetry_space_group_name_H-M 'C m m m'
_symmetry_Int_Tables_number 65
_symmetry_space_group_name_Hall '-C 2 2'
_cell_length_a 3.2692
_cell_length_b 5.6649
_cell_length_c 7.7560
_cell_angle_alpha 90.00
_cell_angle_beta 90.00
_cell_angle_gamma 90.00
loop_
_atom_site_label
_atom_site_type_symbol
_atom_site_fract_x
_atom_site_fract_y
_atom_site_fract_z
Al1 Al 0.0000 0.0000 0.0000
Cu1 Cu 0.0000 0.5000 0.2388
Br1 Br 0.0000 0.0000 0.5000

# PBE AlCu2Br6, relaxed
# Calculated total energy   -3.088 eV/atom
# Formation energy without anion corrections   -561 kJ/mol of formula units
data_AlCu2Br6
_chemical_formula_sum 'Al4 Cu8 Br24'
_symmetry_space_group_name_H-M 'C 1 2/c 1'
_symmetry_Int_Tables_number 15
_symmetry_space_group_name_Hall '-C 2yc'
_cell_length_a 14.1832
_cell_length_b 13.9851
_cell_length_c 6.8805
_cell_angle_alpha 90.00
_cell_angle_beta 116.24
_cell_angle_gamma 90.00
loop_
_atom_site_label
_atom_site_type_symbol
_atom_site_fract_x
_atom_site_fract_y
_atom_site_fract_z
Al1 Al 0.0000 0.2212 0.2500
Cu1 Cu 0.2234 0.4321 0.4169
Br1 Br 0.0978 0.1262 0.5522
Br2 Br 0.1044 0.3142 0.1386
Br3 Br 0.2043 0.4189 0.7388